VASP calculation (GGA-PBE) on a relaxed Tb5Y4Er3 crystal.

```
Tb5Y4Er3
1.0
8.0443 -2.9322 0.0000
8.0443 2.9322 0.0000
-4.2137 0.0000 8.2718
Tb Y Er
5 4 3
direct
0.0000 0.0000 0.0000
0.3270 0.3270 0.6151
0.4254 0.4254 0.2987
0.5746 0.5746 0.7013
0.6730 0.6730 0.3849
0.0800 0.0800 0.4378
0.2142 0.2142 0.8782
0.7858 0.7858 0.1218
0.9200 0.9200 0.5622
0.2097 0.2097 0.2319
0.5000 0.5000 0.0000
0.7903 0.7903 0.7681
```

Output
The value obtained for the formation energy is 0.24 eV/atom. The calculated density comes out at 7.03 g/cm³. The space group is C2/m. The volume is 390.22 Å³/cell. The total magnetization comes out at 0.454 Bohr magnetons per cell.

---

VASP calculation (GGA-PBE) on a relaxed ZnB2SbTe crystal.

```
ZnB2SbTe
1.0
4.2389 0.0000 0.0000
0.0000 4.2389 0.0000
0.0000 0.0000 5.7032
Zn B Sb Te
1 2 1 1
direct
0.0000 0.0000 0.0000
0.0000 0.5000 0.0000
0.5000 0.0000 0.0000
0.0000 0.0000 0.5000
0.5000 0.5000 0.5000
```

Output
The energy relative to the elements, uncorrected comes out at 1.353 eV per atom. The calculated density comes out at 5.45 g/cm³. The space group is P4/mmm. The volume is 102.48 Å³/cell. The total magnetization comes out at 0.000 Bohr magnetons per cell.